1.
Entry from the Alexandria database: a relaxed structure of SrZr (PBE).

Summary:
VASP energy: -2.77 eV per atom
Space group: F-43m, No. 216
Energy relative to the lowest polymorph listed for this composition: 2041.7 meV per atom
Volume: 62.17 Å³ per atom

a = 7.9228 Å, b = 7.9228 Å, c = 7.9228 Å
α = 90.00°, β = 90.00°, γ = 90.00°
Positions (direct):
Sr 0.0000 0.0000 0.0000
Sr 0.0000 0.5000 0.5000
Sr 0.5000 0.0000 0.5000
Sr 0.5000 0.5000 0.0000
Zr 0.2500 0.2500 0.7500
Zr 0.2500 0.7500 0.2500
Zr 0.7500 0.2500 0.2500
Zr 0.7500 0.7500 0.7500


2.
Entry from the Alexandria database: a relaxed structure of Sr2Zr (PBE).

Summary:
VASP energy: -3.54 eV per atom
Space group: C2/m, No. 12
Energy relative to the lowest polymorph listed for this composition: 80.0 meV per atom
Volume: 39.94 Å³ per atom

a = 16.6815 Å, b = 3.7233 Å, c = 8.0011 Å
α = 90.00°, β = 105.32°, γ = 90.00°
Positions (direct):
Sr 0.1207 0.0000 0.0638
Sr 0.1658 0.0000 0.6066
Sr 0.3342 0.5000 0.3934
Sr 0.3793 0.5000 0.9362
Sr 0.6207 0.5000 0.0638
Sr 0.6658 0.5000 0.6066
Sr 0.8342 0.0000 0.3934
Sr 0.8793 0.0000 0.9362
Zr 0.0042 0.5000 0.3247
Zr 0.4958 0.0000 0.6753
Zr 0.5042 0.0000 0.3247
Zr 0.9958 0.5000 0.6753


3.
Entry from the Alexandria database: a relaxed structure of Sr2Zr (PBE).

Summary:
VASP energy: -2.89 eV per atom
Space group: Pa-3, No. 205
Energy relative to the lowest polymorph listed for this composition: 731.2 meV per atom
Volume: 48.63 Å³ per atom

a = 8.3567 Å, b = 8.3567 Å, c = 8.3567 Å
α = 90.00°, β = 90.00°, γ = 90.00°
Positions (direct):
Sr 0.1521 0.1521 0.1521
Sr 0.1521 0.3479 0.6521
Sr 0.3479 0.6521 0.1521
Sr 0.3479 0.8479 0.6521
Sr 0.6521 0.1521 0.3479
Sr 0.6521 0.3479 0.8479
Sr 0.8479 0.6521 0.3479
Sr 0.8479 0.8479 0.8479
Zr 0.0000 0.0000 0.5000
Zr 0.0000 0.5000 0.0000
Zr 0.5000 0.0000 0.0000
Zr 0.5000 0.5000 0.5000


4.
Entry from the Alexandria database: a relaxed structure of Sr2Zr (PBE).

Summary:
VASP energy: -3.47 eV per atom
Space group: P-3m1, No. 164
Energy relative to the lowest polymorph listed for this composition: 147.6 meV per atom
Volume: 37.25 Å³ per atom

a = 3.7179 Å, b = 3.7179 Å, c = 9.3348 Å
α = 90.00°, β = 90.00°, γ = 120.00°
Positions (direct):
Sr 0.3333 0.6667 0.3013
Sr 0.6667 0.3333 0.6987
Zr 0.0000 0.0000 0.0000


5.
Entry from the Alexandria database: a relaxed structure of SrZr3 (PBE).

Summary:
VASP energy: -6.32 eV per atom
Space group: Pm-3m, No. 221
Volume: 26.40 Å³ per atom

a = 4.7268 Å, b = 4.7268 Å, c = 4.7268 Å
α = 90.00°, β = 90.00°, γ = 90.00°
Positions (direct):
Sr 0.0000 0.0000 0.0000
Zr 0.0000 0.5000 0.5000
Zr 0.5000 0.0000 0.5000
Zr 0.5000 0.5000 0.0000


6.
Entry from the Alexandria database: a relaxed structure of SrZr (PBE).

Summary:
VASP energy: -4.32 eV per atom
Space group: P6_3/mmc, No. 194
Energy relative to the lowest polymorph listed for this composition: 491.1 meV per atom
Volume: 41.07 Å³ per atom

a = 6.1018 Å, b = 6.1018 Å, c = 5.0950 Å
α = 90.00°, β = 90.00°, γ = 120.00°
Positions (direct):
Sr 0.3333 0.6667 0.2500
Sr 0.6667 0.3333 0.7500
Zr 0.0000 0.0000 0.0000
Zr 0.0000 0.0000 0.5000


7.
Entry from the Alexandria database: a relaxed structure of SrZr (PBE).

Summary:
VASP energy: -4.49 eV per atom
Space group: P-6m2, No. 187
Energy relative to the lowest polymorph listed for this composition: 318.9 meV per atom
Volume: 31.28 Å³ per atom

a = 3.4671 Å, b = 3.4671 Å, c = 6.0102 Å
α = 90.00°, β = 90.00°, γ = 120.00°
Positions (direct):
Sr 0.0000 0.0000 0.0000
Zr 0.6667 0.3333 0.5000


8.
Entry from the Alexandria database: a relaxed structure of SrZr (PBE).

Summary:
VASP energy: -4.61 eV per atom
Space group: C2/m, No. 12
Energy relative to the lowest polymorph listed for this composition: 195.4 meV per atom
Volume: 33.95 Å³ per atom

a = 12.9643 Å, b = 3.3971 Å, c = 6.5130 Å
α = 90.00°, β = 108.76°, γ = 90.00°
Positions (direct):
Sr 0.1045 0.0000 0.3093
Sr 0.3955 0.5000 0.6907
Sr 0.6045 0.5000 0.3093
Sr 0.8955 0.0000 0.6907
Zr 0.1622 0.5000 0.8623
Zr 0.3378 0.0000 0.1377
Zr 0.6622 0.0000 0.8623
Zr 0.8378 0.5000 0.1377


9.
Entry from the Alexandria database: a relaxed structure of Sr4Zr5 (PBE).

Summary:
VASP energy: -4.81 eV per atom
Space group: P6_3/mcm, No. 193
Energy relative to the lowest polymorph listed for this composition: 235.1 meV per atom
Volume: 30.20 Å³ per atom

a = 9.7132 Å, b = 9.7132 Å, c = 6.6520 Å
α = 90.00°, β = 90.00°, γ = 120.00°
Positions (direct):
Sr 0.0000 0.0000 0.0000
Sr 0.0000 0.0000 0.5000
Sr 0.0000 0.3082 0.2500
Sr 0.0000 0.6918 0.7500
Sr 0.3082 0.0000 0.2500
Sr 0.3082 0.3082 0.7500
Sr 0.6918 0.0000 0.7500
Sr 0.6918 0.6918 0.2500
Zr 0.0000 0.3850 0.7500
Zr 0.0000 0.6150 0.2500
Zr 0.3333 0.6667 0.0000
Zr 0.3333 0.6667 0.5000
Zr 0.3850 0.0000 0.7500
Zr 0.3850 0.3850 0.2500
Zr 0.6150 0.0000 0.2500
Zr 0.6150 0.6150 0.7500
Zr 0.6667 0.3333 0.0000
Zr 0.6667 0.3333 0.5000


10.
Entry from the Alexandria database: a relaxed structure of SrZr (PBE).

Summary:
VASP energy: -4.58 eV per atom
Space group: Imma, No. 74
Energy relative to the lowest polymorph listed for this composition: 224.6 meV per atom
Volume: 34.52 Å³ per atom

a = 3.6915 Å, b = 6.2679 Å, c = 11.9354 Å
α = 90.00°, β = 90.00°, γ = 90.00°
Positions (direct):
Sr 0.0000 0.2500 0.1049
Sr 0.0000 0.7500 0.8951
Sr 0.5000 0.2500 0.3951
Sr 0.5000 0.7500 0.6049
Zr 0.0000 0.2500 0.6595
Zr 0.0000 0.7500 0.3405
Zr 0.5000 0.2500 0.8405
Zr 0.5000 0.7500 0.1595


11.
Entry from the Alexandria database: a relaxed structure of SrZr (PBE).

Summary:
VASP energy: -4.48 eV per atom
Space group: P6_3/mmc, No. 194
Energy relative to the lowest polymorph listed for this composition: 328.8 meV per atom
Volume: 34.68 Å³ per atom

a = 5.1882 Å, b = 5.1882 Å, c = 11.9006 Å
α = 90.00°, β = 90.00°, γ = 120.00°
Positions (direct):
Sr 0.3333 0.6667 0.0884
Sr 0.3333 0.6667 0.4116
Sr 0.6667 0.3333 0.5884
Sr 0.6667 0.3333 0.9116
Zr 0.0000 0.0000 0.2500
Zr 0.0000 0.0000 0.7500
Zr 0.3333 0.6667 0.7500
Zr 0.6667 0.3333 0.2500


12.
Entry from the Alexandria database: a relaxed structure of Sr3Zr5 (PBE).

Summary:
VASP energy: -5.39 eV per atom
Space group: Cmmm, No. 65
Volume: 28.79 Å³ per atom

a = 9.5866 Å, b = 10.3068 Å, c = 4.6621 Å
α = 90.00°, β = 90.00°, γ = 90.00°
Positions (direct):
Sr 0.0000 0.0000 0.0000
Sr 0.2495 0.0000 0.5000
Sr 0.2505 0.5000 0.5000
Sr 0.5000 0.5000 0.0000
Sr 0.7505 0.0000 0.5000
Sr 0.7495 0.5000 0.5000
Zr 0.0000 0.2779 0.5000
Zr 0.0000 0.5000 0.0000
Zr 0.0000 0.7221 0.5000
Zr 0.2500 0.2500 0.0000
Zr 0.2500 0.7500 0.0000
Zr 0.5000 0.0000 0.0000
Zr 0.5000 0.2221 0.5000
Zr 0.5000 0.7779 0.5000
Zr 0.7500 0.2500 0.0000
Zr 0.7500 0.7500 0.0000


13.
Entry from the Alexandria database: a relaxed structure of SrZr3 (PBE).

Summary:
VASP energy: -6.16 eV per atom
Space group: Pm-3n, No. 223
Volume: 26.06 Å³ per atom

a = 5.9293 Å, b = 5.9293 Å, c = 5.9293 Å
α = 90.00°, β = 90.00°, γ = 90.00°
Positions (direct):
Sr 0.0000 0.0000 0.0000
Sr 0.5000 0.5000 0.5000
Zr 0.0000 0.2500 0.5000
Zr 0.0000 0.7500 0.5000
Zr 0.2500 0.5000 0.0000
Zr 0.5000 0.0000 0.2500
Zr 0.5000 0.0000 0.7500
Zr 0.7500 0.5000 0.0000


14.
Entry from the Alexandria database: a relaxed structure of Sr3Zr (PBE).

Summary:
VASP energy: -2.89 eV per atom
Space group: Pm-3m, No. 221
Energy relative to the lowest polymorph listed for this composition: 202.3 meV per atom
Volume: 42.20 Å³ per atom

a = 5.5266 Å, b = 5.5266 Å, c = 5.5266 Å
α = 90.00°, β = 90.00°, γ = 90.00°
Positions (direct):
Sr 0.0000 0.0000 0.5000
Sr 0.0000 0.5000 0.0000
Sr 0.5000 0.0000 0.0000
Zr 0.5000 0.5000 0.5000


15.
Entry from the Alexandria database: a relaxed structure of SrZr2 (PBE).

Summary:
VASP energy: -5.92 eV per atom
Space group: C2/m, No. 12
Energy relative to the lowest polymorph listed for this composition: 0.0 meV per atom
Volume: 30.02 Å³ per atom

a = 14.9045 Å, b = 3.3456 Å, c = 7.4996 Å
α = 90.00°, β = 105.60°, γ = 90.00°
Positions (direct):
Sr 0.0334 0.0000 0.2888
Sr 0.4666 0.5000 0.7112
Sr 0.5334 0.5000 0.2888
Sr 0.9666 0.0000 0.7112
Zr 0.1674 0.5000 0.0198
Zr 0.2200 0.5000 0.6512
Zr 0.2800 0.0000 0.3488
Zr 0.3326 0.0000 0.9802
Zr 0.6674 0.0000 0.0198
Zr 0.7200 0.0000 0.6512
Zr 0.7800 0.5000 0.3488
Zr 0.8326 0.5000 0.9802


16.
Entry from the Alexandria database: a relaxed structure of SrZr3 (PBE).

Summary:
VASP energy: -6.39 eV per atom
Space group: Imm2, No. 44
Volume: 26.64 Å³ per atom

a = 3.2883 Å, b = 10.8260 Å, c = 5.9868 Å
α = 90.00°, β = 90.00°, γ = 90.00°
Positions (direct):
Sr 0.0000 0.0000 0.0000
Sr 0.5000 0.5000 0.5000
Zr 0.0000 0.2392 0.6668
Zr 0.0000 0.5000 0.9965
Zr 0.0000 0.7608 0.6668
Zr 0.5000 0.0000 0.4965
Zr 0.5000 0.2608 0.1668
Zr 0.5000 0.7392 0.1668


17.
Entry from the Alexandria database: a relaxed structure of SrZr3 (PBE).

Summary:
VASP energy: -6.30 eV per atom
Space group: R-3m, No. 166
Volume: 26.25 Å³ per atom

a = 10.9248 Å, b = 10.9248 Å, c = 3.0471 Å
α = 90.00°, β = 90.00°, γ = 120.00°
Positions (direct):
Sr 0.0000 0.0000 0.0000
Sr 0.3333 0.6667 0.6667
Sr 0.6667 0.3333 0.3333
Zr 0.0000 0.5000 0.0000
Zr 0.1667 0.3333 0.3333
Zr 0.1667 0.8333 0.3333
Zr 0.3333 0.1667 0.6667
Zr 0.5000 0.0000 0.0000
Zr 0.5000 0.5000 0.0000
Zr 0.6667 0.8333 0.3333
Zr 0.8333 0.1667 0.6667
Zr 0.8333 0.6667 0.6667


18.
Entry from the Alexandria database: a relaxed structure of SrZr (PBE).

Summary:
VASP energy: -4.45 eV per atom
Space group: Pnma, No. 62
Energy relative to the lowest polymorph listed for this composition: 355.2 meV per atom
Volume: 37.79 Å³ per atom

a = 9.4752 Å, b = 4.6062 Å, c = 6.9276 Å
α = 90.00°, β = 90.00°, γ = 90.00°
Positions (direct):
Sr 0.1778 0.2500 0.1133
Sr 0.3222 0.7500 0.6133
Sr 0.6778 0.2500 0.3867
Sr 0.8222 0.7500 0.8867
Zr 0.0264 0.2500 0.5954
Zr 0.4736 0.7500 0.0954
Zr 0.5264 0.2500 0.9046
Zr 0.9736 0.7500 0.4046


19.
Entry from the Alexandria database: a relaxed structure of Sr2Zr (PBE).

Summary:
VASP energy: -3.49 eV per atom
Space group: I4/mmm, No. 139
Energy relative to the lowest polymorph listed for this composition: 132.6 meV per atom
Volume: 37.75 Å³ per atom

a = 3.6815 Å, b = 3.6815 Å, c = 16.7132 Å
α = 90.00°, β = 90.00°, γ = 90.00°
Positions (direct):
Sr 0.0000 0.0000 0.1478
Sr 0.0000 0.0000 0.8522
Sr 0.5000 0.5000 0.3522
Sr 0.5000 0.5000 0.6478
Zr 0.0000 0.0000 0.5000
Zr 0.5000 0.5000 0.0000


20.
Entry from the Alexandria database: a relaxed structure of SrZr2 (PBE).

Summary:
VASP energy: -5.86 eV per atom
Space group: Immm, No. 71
Energy relative to the lowest polymorph listed for this composition: 60.8 meV per atom
Volume: 29.76 Å³ per atom

a = 3.3764 Å, b = 4.3439 Å, c = 12.1760 Å
α = 90.00°, β = 90.00°, γ = 90.00°
Positions (direct):
Sr 0.0000 0.0000 0.0000
Sr 0.5000 0.5000 0.5000
Zr 0.0000 0.0000 0.3012
Zr 0.0000 0.0000 0.6988
Zr 0.5000 0.5000 0.1988
Zr 0.5000 0.5000 0.8012